# CsCuNiSeS2

Crystalline CsCuNiSeS2 at its relaxed geometry (PBE, the Open Quantum Materials Database).

POSCAR file:
```
CsCuNiSeS2
1.0
1.793 -7.844 0.000
1.793 7.844 0.000
0.000 0.000 9.951
Cs Cu Ni Se S
2 2 2 2 4
Direct
0.246 0.754 0.750
0.754 0.246 0.250
0.454 0.546 0.250
0.546 0.454 0.750
0.000 0.000 0.000
0.000 0.000 0.500
0.056 0.944 0.250
0.944 0.056 0.750
0.408 0.592 0.037
0.408 0.592 0.463
0.592 0.408 0.537
0.592 0.408 0.963
```

Summary:
Space group: Cmcm (63)
Final energy, eV per cell: -48.518
Crystal system: orthorhombic

# YEr2Ga3CuGe2

Crystalline YEr2Ga3CuGe2 at its relaxed geometry (PBE, the Open Quantum Materials Database).

POSCAR file:
```
YEr2Ga3CuGe2
1.0
4.151 0.000 0.000
0.000 6.079 3.502
0.000 -6.079 3.502
Y Er Ga Cu Ge
1 2 3 1 2
Direct
0.000 0.000 0.000
0.000 0.195 0.597
0.000 0.597 0.195
0.500 0.364 0.364
0.500 0.596 0.830
0.500 0.830 0.596
0.000 0.594 0.594
0.500 0.266 0.930
0.500 0.930 0.266
```

Summary:
Space group: Amm2 (38)
Final energy, eV per cell: -43.441
Crystal system: orthorhombic

# GaCuHgOs

Crystalline GaCuHgOs at its relaxed geometry (PBE, the Open Quantum Materials Database).

POSCAR file:
```
GaCuHgOs
1.0
0.000 3.154 3.154
3.154 0.000 3.154
3.154 3.154 0.000
Ga Cu Hg Os
1 1 1 1
Direct
0.000 0.000 0.000
0.250 0.250 0.250
0.500 0.500 0.500
0.750 0.750 0.750
```

Summary:
Space group: F-43m (216)
E above lowest polymorph, meV/atom: 0.0
Crystal system: cubic

# SmErGa5

Crystalline SmErGa5 at its relaxed geometry (PBE, the Open Quantum Materials Database).

POSCAR file:
```
SmErGa5
1.0
4.279 0.000 0.000
0.000 4.279 0.000
0.000 0.000 8.180
Sm Er Ga
1 1 5
Direct
0.000 0.000 0.000
0.000 0.000 0.500
0.000 0.500 0.263
0.000 0.500 0.737
0.500 0.000 0.263
0.500 0.000 0.737
0.500 0.500 0.000
```

Summary:
Space group: P4/mmm (123)
Final energy, eV per cell: -27.223
Crystal system: tetragonal

# Ho2TmP3

Crystalline Ho2TmP3 at its relaxed geometry (PBE, the Open Quantum Materials Database).

POSCAR file:
```
Ho2TmP3
1.0
3.973 0.000 0.000
-1.987 3.441 0.000
0.000 0.000 9.723
Ho Tm P
2 1 3
Direct
0.333 0.667 0.332
0.667 0.333 0.668
0.000 0.000 0.000
0.000 0.000 0.500
0.333 0.667 0.835
0.667 0.333 0.165
```

Summary:
Space group: P-3m1 (164)
Final energy, eV per cell: -39.526
Crystal system: trigonal

# PuSc

Crystalline PuSc at its relaxed geometry (PBE, the Open Quantum Materials Database).

POSCAR file:
```
PuSc
1.0
0.000 3.131 3.131
3.131 0.000 3.131
3.131 3.131 0.000
Pu Sc
1 1
Direct
0.000 0.000 0.000
0.750 0.750 0.750
```

Summary:
Space group: F-43m (216)
E_form, eV per atom: 1.610
E above lowest polymorph, meV/atom: 1568.7
Crystal system: cubic

# ReTe2

Crystalline ReTe2 at its relaxed geometry (PBE, the Open Quantum Materials Database).

POSCAR file:
```
ReTe2
1.0
3.459 0.000 0.000
0.000 6.329 0.000
0.000 0.000 14.740
Re Te
4 8
Direct
0.000 0.035 0.000
0.000 0.592 0.492
0.500 0.408 0.992
0.500 0.965 0.500
0.000 0.210 0.397
0.000 0.293 0.860
0.000 0.653 0.095
0.000 0.850 0.633
0.500 0.150 0.133
0.500 0.347 0.595
0.500 0.707 0.360
0.500 0.790 0.897
```

Summary:
Space group: Pmn2_1 (31)
Final energy, eV per cell: -74.394
Crystal system: orthorhombic

# K5Sb2W

Crystalline K5Sb2W at its relaxed geometry (PBE, the Open Quantum Materials Database).

POSCAR file:
```
K5Sb2W
1.0
3.060 1.766 9.640
-3.060 1.766 9.640
0.000 -3.533 9.640
K Sb W
5 2 1
Direct
0.000 0.000 0.000
0.134 0.134 0.134
0.278 0.278 0.278
0.722 0.722 0.722
0.866 0.866 0.866
0.407 0.407 0.407
0.593 0.593 0.593
0.500 0.500 0.500
```

Summary:
Space group: R-3m (166)
Final energy, eV per cell: -25.369
Crystal system: trigonal

# LuNiSbPt

Crystalline LuNiSbPt at its relaxed geometry (PBE, the Open Quantum Materials Database).

POSCAR file:
```
LuNiSbPt
1.0
0.000 3.333 3.333
3.333 0.000 3.333
3.333 3.333 0.000
Lu Ni Sb Pt
1 1 1 1
Direct
0.000 0.000 0.000
0.500 0.500 0.500
0.250 0.250 0.250
0.750 0.750 0.750
```

Summary:
Space group: F-43m (216)
E above lowest polymorph, meV/atom: 212.0
Crystal system: cubic

# TcPAuO

Crystalline TcPAuO at its relaxed geometry (PBE, the Open Quantum Materials Database).

POSCAR file:
```
TcPAuO
1.0
4.451 0.000 0.000
0.000 4.451 0.000
0.000 0.000 5.351
Tc P Au O
2 2 2 2
Direct
0.250 0.750 0.000
0.750 0.250 0.000
0.250 0.250 0.169
0.750 0.750 0.831
0.250 0.250 0.641
0.750 0.750 0.359
0.250 0.750 0.500
0.750 0.250 0.500
```

Summary:
Space group: P4/nmm (129)
E above lowest polymorph, meV/atom: 513.6
Crystal system: tetragonal

# Zn2Ni9

Crystalline Zn2Ni9 at its relaxed geometry (PBE, the Open Quantum Materials Database).

POSCAR file:
```
Zn2Ni9
1.0
2.491 0.000 0.000
-1.246 2.157 0.000
0.000 0.000 34.740
Zn Ni
2 9
Direct
0.333 0.667 0.294
0.667 0.333 0.706
0.000 0.000 0.000
0.000 0.000 0.173
0.000 0.000 0.827
0.333 0.667 0.115
0.333 0.667 0.769
0.333 0.667 0.942
0.667 0.333 0.058
0.667 0.333 0.231
0.667 0.333 0.885
```

Summary:
Space group: P-3m1 (164)
E_form, eV per atom: 0.044
Crystal system: trigonal

# AlAsAuO

Crystalline AlAsAuO at its relaxed geometry (PBE, the Open Quantum Materials Database).

POSCAR file:
```
AlAsAuO
1.0
4.140 0.000 0.000
0.000 6.817 0.000
0.000 0.000 5.319
Al As Au O
2 2 2 2
Direct
0.000 0.141 0.000
0.000 0.859 0.500
0.500 0.329 0.892
0.500 0.671 0.392
0.500 0.306 0.404
0.500 0.694 0.904
0.000 0.070 0.316
0.000 0.930 0.816
```

Summary:
Space group: Pmc2_1 (26)
E above lowest polymorph, meV/atom: 0.0
Crystal system: orthorhombic

# LuGaFeCo

Crystalline LuGaFeCo at its relaxed geometry (PBE, the Open Quantum Materials Database).

POSCAR file:
```
LuGaFeCo
1.0
0.000 3.062 3.062
3.062 0.000 3.062
3.062 3.062 0.000
Lu Ga Fe Co
1 1 1 1
Direct
0.000 0.000 0.000
0.500 0.500 0.500
0.250 0.250 0.250
0.750 0.750 0.750
```

Summary:
Space group: F-43m (216)
E above lowest polymorph, meV/atom: 0.0
Crystal system: cubic

# LuInCoPt

Crystalline LuInCoPt at its relaxed geometry (PBE, the Open Quantum Materials Database).

POSCAR file:
```
LuInCoPt
1.0
0.000 3.287 3.287
3.287 0.000 3.287
3.287 3.287 0.000
Lu In Co Pt
1 1 1 1
Direct
0.000 0.000 0.000
0.500 0.500 0.500
0.750 0.750 0.750
0.250 0.250 0.250
```

Summary:
Space group: F-43m (216)
E above lowest polymorph, meV/atom: 0.0
Crystal system: cubic

# Nb4CuNiC2

Crystalline Nb4CuNiC2 at its relaxed geometry (PBE, the Open Quantum Materials Database).

POSCAR file:
```
Nb4CuNiC2
1.0
3.135 0.000 0.000
-1.568 2.715 0.000
0.000 0.000 13.115
Nb Cu Ni C
4 1 1 2
Direct
0.000 0.000 0.152
0.000 0.000 0.848
0.333 0.667 0.340
0.333 0.667 0.660
0.000 0.000 0.500
0.333 0.667 0.000
0.667 0.333 0.247
0.667 0.333 0.753
```

Summary:
Space group: P-6m2 (187)
Final energy, eV per cell: -69.840
Crystal system: hexagonal

# LiHoMo

Crystalline LiHoMo at its relaxed geometry (PBE, the Open Quantum Materials Database).

POSCAR file:
```
LiHoMo
1.0
0.000 3.121 3.121
3.121 0.000 3.121
3.121 3.121 0.000
Li Ho Mo
1 1 1
Direct
0.000 0.000 0.000
0.750 0.750 0.750
0.250 0.250 0.250
```

Summary:
Space group: F-43m (216)
E above lowest polymorph, meV/atom: 0.0
Crystal system: cubic

# TbHfTa

Crystalline TbHfTa at its relaxed geometry (PBE, the Open Quantum Materials Database).

POSCAR file:
```
TbHfTa
1.0
0.000 3.394 3.394
3.394 0.000 3.394
3.394 3.394 0.000
Tb Hf Ta
1 1 1
Direct
0.000 0.000 0.000
0.750 0.750 0.750
0.500 0.500 0.500
```

Summary:
Space group: F-43m (216)
E_form, eV per atom: 1.111
Crystal system: cubic

# TmCuTe3Pb

Crystalline TmCuTe3Pb at its relaxed geometry (PBE, the Open Quantum Materials Database).

POSCAR file:
```
TmCuTe3Pb
1.0
11.182 0.000 0.000
0.000 4.270 0.000
0.000 0.000 14.544
Tm Cu Te Pb
4 4 12 4
Direct
0.022 0.250 0.244
0.478 0.750 0.744
0.522 0.250 0.256
0.978 0.750 0.756
0.243 0.250 0.720
0.257 0.750 0.220
0.743 0.250 0.780
0.757 0.750 0.280
0.045 0.250 0.614
0.080 0.750 0.102
0.233 0.750 0.832
0.267 0.250 0.332
0.420 0.250 0.602
0.455 0.750 0.114
0.545 0.250 0.886
0.580 0.750 0.398
0.733 0.750 0.668
0.767 0.250 0.168
0.920 0.250 0.898
0.955 0.750 0.386
0.223 0.750 0.511
0.277 0.250 0.011
0.723 0.750 0.989
0.777 0.250 0.489
```

Summary:
Space group: Pnma (62)
E above lowest polymorph, meV/atom: 0.0
Crystal system: orthorhombic

# Nb2Co3Ir3

Crystalline Nb2Co3Ir3 at its relaxed geometry (PBE, the Open Quantum Materials Database).

POSCAR file:
```
Nb2Co3Ir3
1.0
5.446 0.000 0.000
-2.723 4.716 0.000
0.000 0.000 4.294
Nb Co Ir
2 3 3
Direct
0.000 0.000 0.000
0.333 0.667 0.500
0.340 0.170 0.500
0.830 0.170 0.500
0.830 0.660 0.500
0.506 0.012 0.000
0.506 0.494 0.000
0.988 0.494 0.000
```

Summary:
Space group: P-6m2 (187)
E_form, eV per atom: -0.362
E above lowest polymorph, meV/atom: 15.8
Crystal system: hexagonal

# TbAl

Crystalline TbAl at its relaxed geometry (PBE, the Open Quantum Materials Database).

POSCAR file:
```
TbAl
1.0
3.425 0.000 0.000
-1.713 2.966 0.000
0.000 0.000 4.947
Tb Al
1 1
Direct
0.000 0.000 0.000
0.333 0.667 0.500
```

Summary:
Space group: P-6m2 (187)
Final energy, eV per cell: -8.536
Crystal system: hexagonal